No. 1
The following is a DFT calculation (PBE) of crystalline BePOs at its relaxed geometry.

Raw total energy = -20.1 eV/cell
ΔH_f (0 K) = 84 meV per atom
Space-group type = No. 216
Energy above the lowest structure with this stoichiometry = 0.251 eV/atom

Unit cell a=3.867 b=3.867 c=3.867 alpha=60.00 beta=60.00 gamma=60.00
Element x y z (fractional)
Be  0.000  0.000  0.000
P  0.500  0.500  0.500
Os  0.250  0.250  0.250

=====

No. 2
The following is a DFT calculation (PBE) of crystalline CaSbW2 at its relaxed geometry.

Raw total energy = -30.9 eV/cell
Space-group type = No. 99

Unit cell a=3.313 b=3.313 c=7.961 alpha=90.00 beta=90.00 gamma=90.00
Element x y z (fractional)
Ca  0.000  0.000  0.000
Sb  0.500  0.500  0.327
W  0.000  0.000  0.558
W  0.500  0.500  0.717